20
Lattice="5.343 0.000 0.000 0.000 5.442 0.000 -5.282 0.000 7.414" Properties=species:S:1:pos:R:3 comment="Sm2BeVO6, optimized geometry, DFT GGA+U" e_tot_ha_per_atom=-0.287 space_group="No. 14" pbc="T T T"
Sm -0.052 0.249 1.847
Sm -2.693 2.472 5.554
Sm 2.754 2.970 1.860
Sm 0.113 5.192 5.567
Be -2.641 0.000 3.707
Be 0.000 2.721 0.000
V 2.672 0.000 0.000
V 0.030 2.721 3.707
O -4.172 1.191 7.114
O -1.530 1.530 3.407
O -3.794 3.855 7.115
O -1.153 4.307 3.408
O -2.234 0.069 5.555
O 0.407 2.652 1.848
O -0.346 2.789 5.566
O 2.295 5.373 1.859
O 1.214 1.135 4.007
O 3.855 1.586 0.299
O 1.591 3.911 4.008
O 4.233 4.251 0.300